No. 1
## ZnCdCu2 (PBE-GGA)

Data for ZnCdCu2 after structural relaxation.

Lattice parameters (Å, degrees): 9.5414 9.5414 9.5414 156.96 156.96 32.82
Last column: nearest neighbours and their distance in Å.
Fractional positions:
Zn  0.0000  0.0000  0.0000  4 Cu 2.62, 4 Cd 2.70
Zn  0.7500  0.2500  0.5000  4 Cu 2.62, 4 Cd 2.70
Cd  0.2500  0.7500  0.5000  4 Cu 2.69, 4 Zn 2.70
Cd  0.5000  0.5000  0.0000  4 Cu 2.69, 4 Zn 2.70
Cu  0.0997  0.6250  0.9747  4 Cu 2.56-2.83, 2 Zn 2.62, 2 Cd 2.69
Cu  0.3750  0.3497  0.4747  4 Cu 2.56-2.83, 2 Zn 2.62, 2 Cd 2.69
Cu  0.6503  0.1250  0.0253  4 Cu 2.56-2.83, 2 Zn 2.62, 2 Cd 2.69
Cu  0.8750  0.9003  0.5253  4 Cu 2.56-2.83, 2 Zn 2.62, 2 Cd 2.69

Summary:
- energy of formation (eV per formula unit) = 1.14
- DFT total energy (eV/cell) = -18.49
- calculated density (g/cm3) = 7.6
- magnetic moment (μB/f.u.) = 0.00
- symmetry = I-42d

***

No. 2
## NdDyH (PBE-GGA)

Data for NdDyH after structural relaxation.

Lattice parameters (Å, degrees): 8.4164 8.4164 3.5221 90.00 90.00 120.00
Last column: nearest neighbours and their distance in Å.
Fractional positions:
Nd  0.0904  0.5452  0.0000  2 H 2.52
Nd  0.4548  0.5452  0.6667  2 H 2.52
Nd  0.4548  0.9096  0.3333  2 H 2.52
Dy  0.2329  0.1165  0.0000  2 H 2.41
Dy  0.8835  0.1165  0.6667  2 H 2.41
Dy  0.8835  0.7671  0.3333  2 H 2.41
H  0.1617  0.3234  0.3333  2 Dy 2.41, 2 Nd 2.52
H  0.1617  0.8383  0.6667  2 Dy 2.41, 2 Nd 2.52
H  0.6766  0.8383  0.0000  2 Dy 2.41, 2 Nd 2.52

Summary:
- DFT total energy (eV/cell) = -36.95
- calculated density (g/cm3) = 7.1
- E above lowest polymorph (eV per atom) = 0.351
- magnetic moment (μB/f.u.) = 0.00
- symmetry = P3_212

***

No. 3
## La2ScS4 (PBE-GGA)

Data for La2ScS4 after structural relaxation.

Lattice parameters (Å, degrees): 7.0184 6.7466 7.9578 90.00 106.80 90.00
Last column: nearest neighbours and their distance in Å.
Fractional positions:
La  0.2052  0.2500  0.0543  6 S 2.94-2.98
La  0.2292  0.2500  0.5537  6 S 2.85-3.02
La  0.7708  0.7500  0.4463  6 S 2.85-3.02
La  0.7948  0.7500  0.9457  6 S 2.94-2.98
Sc  0.2680  0.7500  0.8159  4 S 2.39-2.47
Sc  0.7320  0.2500  0.1840  4 S 2.39-2.47
S  0.0026  0.0028  0.7470  1 Sc 2.47
S  0.0026  0.4972  0.7470  1 Sc 2.47
S  0.4667  0.7500  0.6181  1 Sc 2.39
S  0.4725  0.7500  0.1154  1 Sc 2.40
S  0.5275  0.2500  0.8846  1 Sc 2.40
S  0.5333  0.2500  0.3819  1 Sc 2.39
S  0.9974  0.5028  0.2530  1 Sc 2.47
S  0.9974  0.9972  0.2530  1 Sc 2.47

Summary:
- DFT total energy (eV/cell) = -92.27
- E_form (uncorrected) (meV per atom) = -1920
- calculated density (g/cm3) = 4.2
- E above lowest polymorph (eV per atom) = 0.014
- magnetic moment (μB/f.u.) = 0.00
- symmetry = P2_1/m

***

No. 4
## CdTcPb2 (PBE-GGA)

Data for CdTcPb2 after structural relaxation.

Lattice parameters (Å, degrees): 10.9054 10.9054 10.9054 17.01 17.01 17.01
Last column: nearest neighbours and their distance in Å.
Fractional positions:
Cd  0.0000  0.0000  0.0000  3 Tc 2.88
Tc  0.7348  0.7348  0.7348  3 Cd 2.88, 3 Pb 2.89
Pb  0.2456  0.2456  0.2456  6 Pb 3.23, 3 Cd 3.38
Pb  0.4700  0.4700  0.4700  3 Tc 2.89, 6 Pb 3.23

Summary:
- energy of formation (eV per formula unit) = 1.86
- DFT total energy (eV/cell) = -16.84
- calculated density (g/cm3) = 10.7
- magnetic moment (μB/f.u.) = 0.00
- symmetry = R3m

***

No. 5
## DyY2Th3Te6 (PBE-GGA)

Data for DyY2Th3Te6 after structural relaxation.

Lattice parameters (Å, degrees): 10.1894 10.1894 9.1800 110.33 110.33 24.10
Last column: nearest neighbours and their distance in Å.
Fractional positions:
Dy  0.0000  0.0000  0.0000  6 Te 3.06
Y  0.3333  0.3333  0.6670  6 Te 3.06-3.07
Y  0.6667  0.6667  0.3330  6 Te 3.06-3.07
Th  0.0000  0.0000  0.5000  6 Te 3.20
Th  0.3334  0.3334  0.1671  6 Te 3.20
Th  0.6666  0.6666  0.8329  6 Te 3.20
Te  0.1635  0.1635  0.0902  1 Dy 3.06, 2 Y 3.06, 3 Th 3.20
Te  0.1696  0.1696  0.5756  3 Y 3.07, 3 Th 3.20
Te  0.4970  0.4970  0.7579  2 Dy 3.06, 1 Y 3.07, 3 Th 3.20
Te  0.5030  0.5030  0.2421  2 Dy 3.06, 1 Y 3.07, 3 Th 3.20
Te  0.8304  0.8304  0.4244  3 Y 3.07, 3 Th 3.20
Te  0.8365  0.8365  0.9098  1 Dy 3.06, 2 Y 3.06, 3 Th 3.20

Summary:
- DFT total energy (eV/cell) = -72.42
- E_form (uncorrected) (meV per atom) = -1149
- calculated density (g/cm3) = 8.2
- magnetic moment (μB/f.u.) = 0.00
- symmetry = C2/m

***

No. 6
## PrFeSb3 (PBE-GGA)

Data for PrFeSb3 after structural relaxation.

Lattice parameters (Å, degrees): 12.9798 6.1584 6.0734 90.00 90.00 90.00
Last column: nearest neighbours and their distance in Å.
Fractional positions:
Pr  0.1956  0.0014  0.2500  9 Sb 3.27-3.35, 2 Fe 3.49
Pr  0.1956  0.4986  0.7500  9 Sb 3.27-3.35, 2 Fe 3.49
Pr  0.8044  0.5014  0.2500  9 Sb 3.27-3.35, 2 Fe 3.49
Pr  0.8044  0.9986  0.7500  9 Sb 3.27-3.35, 2 Fe 3.49
Fe  0.4071  0.2500  0.0000  6 Sb 2.63-2.65
Fe  0.4071  0.2500  0.5000  6 Sb 2.63-2.65
Fe  0.5929  0.7500  0.0000  6 Sb 2.63-2.65
Fe  0.5929  0.7500  0.5000  6 Sb 2.63-2.65
Sb  0.0011  0.2500  0.0000  4 Sb 3.04-3.08, 4 Pr 3.32-3.35
Sb  0.0011  0.2500  0.5000  4 Sb 3.04-3.08, 4 Pr 3.32-3.35
Sb  0.2891  0.5014  0.2500  2 Fe 2.65
Sb  0.2891  0.9986  0.7500  2 Fe 2.65
Sb  0.4444  0.5943  0.7500  4 Fe 2.63-2.65
Sb  0.4444  0.9057  0.2500  4 Fe 2.63-2.65
Sb  0.5556  0.0943  0.7500  4 Fe 2.63-2.65
Sb  0.5556  0.4057  0.2500  4 Fe 2.63-2.65
Sb  0.7109  0.0014  0.2500  2 Fe 2.65
Sb  0.7109  0.4986  0.7500  2 Fe 2.65
Sb  0.9989  0.7500  0.0000  4 Sb 3.04-3.08, 4 Pr 3.32-3.35
Sb  0.9989  0.7500  0.5000  4 Sb 3.04-3.08, 4 Pr 3.32-3.35

Summary:
- DFT total energy (eV/cell) = -111.92
- E_form (uncorrected) (meV per atom) = -474
- calculated density (g/cm3) = 7.7
- E above lowest polymorph (eV per atom) = 0.019
- magnetic moment (μB/f.u.) = 1.39
- symmetry = Pbcm

***

No. 7
## In2Ag3Au (PBE-GGA)

Data for In2Ag3Au after structural relaxation.

Lattice parameters (Å, degrees): 4.1775 4.3768 6.7576 90.00 107.51 90.00
Last column: nearest neighbours and their distance in Å.
Fractional positions:
In  0.1581  0.0000  0.3170  2 Au 2.91-2.93, 8 Ag 2.99-3.14, 2 In 3.13-3.17
In  0.8419  0.0000  0.6830  2 Au 2.91-2.93, 8 Ag 2.99-3.14, 2 In 3.13-3.17
Ag  0.0000  0.5000  0.0000  4 Ag 2.99-3.02, 4 In 2.99, 4 Au 3.03
Ag  0.3327  0.5000  0.6654  4 Ag 2.97-3.02, 6 In 3.03-3.14, 2 Au 3.07
Ag  0.6673  0.5000  0.3346  4 Ag 2.97-3.02, 6 In 3.03-3.14, 2 Au 3.07
Au  0.5000  0.0000  0.0000  4 In 2.91-2.93, 8 Ag 3.03-3.07

Summary:
- energy of formation (eV per formula unit) = -0.29
- DFT total energy (eV/cell) = -17.60
- calculated density (g/cm3) = 10.6
- E above lowest polymorph (eV per atom) = 0.000
- magnetic moment (μB/f.u.) = 0.00
- symmetry = P2/m

***

No. 8
## Ir8C (PBE-GGA)

Data for Ir8C after structural relaxation.

Lattice parameters (Å, degrees): 6.0506 6.0506 6.0506 95.95 95.95 142.44
Last column: nearest neighbours and their distance in Å.
Fractional positions:
Ir  0.0000  0.3266  0.3266  1 C 2.65, 11 Ir 2.67-2.81
Ir  0.0000  0.6734  0.6734  1 C 2.65, 11 Ir 2.67-2.81
Ir  0.3266  0.0000  0.3266  1 C 2.65, 11 Ir 2.67-2.81
Ir  0.3292  0.3292  0.6584  10 Ir 2.66-2.77, 2 C 2.76
Ir  0.3292  0.6708  0.0000  10 Ir 2.66-2.77, 2 C 2.76
Ir  0.6708  0.3292  0.0000  10 Ir 2.66-2.77, 2 C 2.76
Ir  0.6708  0.6708  0.3416  10 Ir 2.66-2.77, 2 C 2.76
Ir  0.6734  0.0000  0.6734  1 C 2.65, 11 Ir 2.67-2.81
C  0.0000  0.0000  0.0000  12 Ir 2.65-2.76

Summary:
- energy of formation (eV per formula unit) = 6.37
- DFT total energy (eV/cell) = -73.74
- calculated density (g/cm3) = 20.1
- magnetic moment (μB/f.u.) = 0.00
- symmetry = I4/mmm

***

No. 9
## Sr2NiH6Au (PBE-GGA)

Data for Sr2NiH6Au after structural relaxation.

Lattice parameters (Å, degrees): 5.4849 5.4525 5.3951 60.74 60.15 59.11
Last column: nearest neighbours and their distance in Å.
Fractional positions:
Sr  0.2500  0.2500  0.2500  12 H 2.71-2.75
Sr  0.7500  0.7500  0.7500  12 H 2.71-2.75
Ni  0.0000  0.0000  0.0000  6 H 1.65-1.66
H  0.2111  0.2111  0.7889  1 Ni 1.65
H  0.2152  0.7848  0.2152  1 Ni 1.65
H  0.2190  0.7810  0.7810  1 Ni 1.66
H  0.7810  0.2190  0.2190  1 Ni 1.66
H  0.7848  0.2152  0.7848  1 Ni 1.65
H  0.7889  0.7889  0.2111  1 Ni 1.65
Au  0.5000  0.5000  0.5000  6 H 2.13-2.26

Summary:
- DFT total energy (eV/cell) = -36.51
- calculated density (g/cm3) = 6.4
- magnetic moment (μB/f.u.) = 0.00
- symmetry = Fmmm

***

No. 10
## NbPtPb (PBE-GGA)

Data for NbPtPb after structural relaxation.

Lattice parameters (Å, degrees): 13.2050 3.3348 3.3348 55.55 90.00 90.00
Last column: nearest neighbours and their distance in Å.
Fractional positions:
Nb  0.1513  0.0000  0.0000  3 Pt 2.72-2.76
Nb  0.8487  0.0000  0.0000  3 Pt 2.72-2.76
Pt  0.0000  0.3120  0.3120  6 Nb 2.72-2.76
Pt  0.5000  0.0034  0.0034  6 Pb 2.89-2.90, 2 Pt 3.11
Pb  0.3337  0.3212  0.3212  3 Pt 2.89-2.90, 3 Nb 3.06-3.07, 2 Pb 3.11
Pb  0.6663  0.3212  0.3212  3 Pt 2.89-2.90, 3 Nb 3.06-3.07, 2 Pb 3.11

Summary:
- energy of formation (eV per formula unit) = 0.43
- DFT total energy (eV/cell) = -38.77
- calculated density (g/cm3) = 13.6
- magnetic moment (μB/f.u.) = 0.00
- symmetry = Amm2

***

No. 11
## La2NdTmTl2 (PBE-GGA)

Data for La2NdTmTl2 after structural relaxation.

Lattice parameters (Å, degrees): 5.1635 10.2994 7.0571 90.00 90.00 90.00
Last column: nearest neighbours and their distance in Å.
Fractional positions:
La  0.0000  0.0625  0.0000  2 La 3.28, 3 Tl 3.40-3.51
La  0.0000  0.9375  0.5000  2 La 3.28, 3 Tl 3.40-3.51
La  0.5000  0.1747  0.2365  2 La 3.28, 4 Tl 3.35-3.44
La  0.5000  0.8253  0.7365  2 La 3.28, 4 Tl 3.35-3.44
Nd  0.5000  0.4543  0.8811  5 Tl 3.27-3.47, 2 Tm 3.65, 2 Nd 3.65
Nd  0.5000  0.5457  0.3811  5 Tl 3.27-3.47, 2 Tm 3.65, 2 Nd 3.65
Tm  0.0000  0.3055  0.5866  4 Tl 3.17-3.21
Tm  0.0000  0.6945  0.0866  4 Tl 3.17-3.21
Tl  0.0000  0.3876  0.1478  2 Tm 3.19-3.21, 4 Nd 3.27-3.47, 3 La 3.44-3.51
Tl  0.0000  0.6124  0.6478  2 Tm 3.19-3.21, 4 Nd 3.27-3.47, 3 La 3.44-3.51
Tl  0.5000  0.1497  0.7128  2 Tm 3.17, 4 La 3.35-3.40, 1 Nd 3.35
Tl  0.5000  0.8503  0.2128  2 Tm 3.17, 4 La 3.35-3.40, 1 Nd 3.35

Summary:
- energy of formation (eV per formula unit) = -1.70
- DFT total energy (eV/cell) = -51.06
- calculated density (g/cm3) = 8.8
- magnetic moment (μB/f.u.) = 0.00
- symmetry = Pmc2_1

***

No. 12
## ReAu (PBE-GGA)

Data for ReAu after structural relaxation.

Lattice parameters (Å, degrees): 6.2942 6.2361 5.4263 64.89 63.79 51.32
Last column: nearest neighbours and their distance in Å.
Fractional positions:
Re  0.0254  0.7246  0.7246  1 Re 2.28
Re  0.2754  0.9746  0.9746  1 Re 2.28
Re  0.7246  0.0254  0.0254  1 Re 2.28
Re  0.9746  0.2754  0.2754  1 Re 2.28
Au  0.2051  0.5449  0.2051  1 Au 2.64, 4 Re 2.66-2.81
Au  0.4551  0.7949  0.4551  1 Au 2.64, 4 Re 2.66-2.81
Au  0.5449  0.2051  0.5449  1 Au 2.64, 4 Re 2.66-2.81
Au  0.7949  0.4551  0.7949  1 Au 2.64, 4 Re 2.66-2.81

Summary:
- energy of formation (eV per formula unit) = 2.01
- DFT total energy (eV/cell) = -54.88
- calculated density (g/cm3) = 17.5
- E above lowest polymorph (eV per atom) = 0.859
- magnetic moment (μB/f.u.) = 0.00
- symmetry = Fddd